No. 1
# Sm6GeBi2Te3 (PBE, relaxed)
data_Sm6GeBi2Te3
_space_group_name_H-M_alt 'C 1 2/m 1'
_space_group_IT_number 12
_cell_length_a 19.474
_cell_length_b 4.447
_cell_length_c 8.952
_cell_angle_alpha 90.00
_cell_angle_beta 103.07
_cell_angle_gamma 90.00
loop_
_space_group_symop_operation_xyz
'x,y,z'
'-x,-y,-z'
'-x,y,-z'
'x,-y,z'
'x+1/2,y+1/2,z'
'-x+1/2,-y+1/2,-z'
'-x+1/2,y+1/2,-z'
'x+1/2,-y+1/2,z'
loop_
_atom_site_label
_atom_site_fract_x
_atom_site_fract_y
_atom_site_fract_z
Sm1 0.001 0.000 0.275
Sm2 0.155 0.500 0.577
Sm3 0.165 0.500 0.082
Ge1 0.000 0.500 0.500
Bi1 0.167 0.000 0.833
Te1 0.000 0.500 0.000
Te2 0.170 0.000 0.335
# - E_form (uncorrected) (eV per formula unit) = -14.39
# - total DFT energy (no corrections) (eV per cell) = -129.0



No. 2
# Cu2IrPt (PBE, relaxed)
data_Cu2IrPt
_space_group_name_H-M_alt 'P 1 m 1'
_space_group_IT_number 6
_cell_length_a 2.683
_cell_length_b 3.828
_cell_length_c 5.355
_cell_angle_alpha 90.00
_cell_angle_beta 90.42
_cell_angle_gamma 90.00
loop_
_space_group_symop_operation_xyz
'x,y,z'
'x,-y,z'
loop_
_atom_site_label
_atom_site_fract_x
_atom_site_fract_y
_atom_site_fract_z
Cu1 0.000 0.000 0.000
Cu2 0.496 0.500 0.239
Ir1 0.996 0.000 0.484
Pt1 0.500 0.500 0.746
# - E_form (eV/atom) = 0.05
# - ΔE to the lowest computed polymorph (kJ/mol of formula units) = 37.1
# - total DFT energy (no corrections) (eV per cell) = -22.9



The highest total DFT energy (no corrections) belongs to which entry? Cu2IrPt



total DFT energy (no corrections) of number 1 (Sm6GeBi2Te3)? -129.0 eV per cell